Record 1
Computed, not measured: an optimized crystal structure of TaNiPt4 at the PBE-GGA level of DFT. Values from VASP.

VASP energy   -7.05 eV per atom
Formation energy   -0.081 eV per atom
Magnetic moment   0.00 μB per cell
Space group   F-43m (216)

The structure in Quantum ESPRESSO input format:
```
&SYSTEM
  ibrav = 0, nat = 6, ntyp = 3
/
ATOMIC_SPECIES
Pt 195.08 Pt.upf
Ni 58.69 Ni.upf
Ta 180.95 Ta.upf
ATOMIC_POSITIONS crystal
Pt 0.3747 0.8759 0.3747
Ni 0.0000 0.0000 0.0000
Ta 0.7500 0.7500 0.7500
Pt 0.8759 0.3747 0.3747
Pt 0.3747 0.3747 0.3747
Pt 0.3747 0.3747 0.8759
CELL_PARAMETERS angstrom
0.0000 3.6616 3.6616
3.6616 0.0000 3.6616
3.6616 3.6616 0.0000
```

=====

Record 2
Computed, not measured: an optimized crystal structure of Be2Cu8Ge at the PBE-GGA level of DFT. Values from VASP.

VASP energy   -4.04 eV per atom
Formation energy   0.035 eV per atom
Magnetic moment   0.00 μB per cell
Space group   P2/m (10)

The structure in Quantum ESPRESSO input format:
```
&SYSTEM
  ibrav = 0, nat = 11, ntyp = 3
/
ATOMIC_SPECIES
Cu 63.55 Cu.upf
Be 9.01 Be.upf
Ge 72.64 Ge.upf
ATOMIC_POSITIONS crystal
Cu 0.8372 0.9011 0.1676
Cu 0.7025 0.3518 0.3512
Cu 0.8356 0.4348 0.1671
Be 0.5003 0.7449 0.5002
Ge 0.0000 0.0000 0.0000
Cu 0.7163 0.8575 0.3575
Cu 0.2975 0.6482 0.6488
Cu 0.2837 0.1425 0.6425
Cu 0.1644 0.5652 0.8329
Cu 0.1628 0.0989 0.8324
Be 0.4997 0.2551 0.4998
CELL_PARAMETERS angstrom
-1.3300 1.0079 -2.1893
2.8470 -3.2513 -3.2297
-6.4134 -5.1253 8.5150
```

=====

> Which value of formation energy does entry 2 give?

0.035 eV per atom

=====

> Which of these has the lowest formation energy?

TaNiPt4